(1)
Material: TeSeCl2
Method: DFT, PBE
State: optimized geometry

The calculation puts the offset from the most stable computed form at 0.000 eV per atom.

The space group is P1 (No. 1) and the conventional cell measures 3.809, 5.994 and 7.021 Å, with angles of 106.25, 104.53 and 99.26 degrees. Symmetry generates all atoms from Te at (0.000, 0.000, 0.000), Se at (0.675, 0.151, 0.284), Cl at (0.052, 0.346, 0.894) and Cl at (0.316, 0.809, 0.689).

(2)
Material: Te2Se2Cl
Method: DFT, PBE
State: optimized geometry

The calculation puts the offset from the most stable computed form at 0.174 eV per atom.

The space group is P4/mbm (No. 127) and the conventional cell measures 8.017, 8.017 and 3.918 Å, with angles of 90.00, 90.00 and 90.00 degrees. Symmetry generates all atoms from Te at (0.165, 0.335, 0.000), Se at (0.155, 0.655, 0.500) and Cl at (0.000, 0.000, 0.000).

(3)
Material: Te4Se2Cl3
Method: DFT, PBE
State: optimized geometry

The calculated total energy is -105.20 eV/cell.

The space group is C2/c (No. 15) and the conventional cell measures 11.528, 15.694 and 7.267 Å, with angles of 90.00, 90.01 and 90.00 degrees. Symmetry generates all atoms from Te at (0.086, 0.245, 0.382), Te at (0.179, 0.405, 0.967), Se at (0.226, 0.118, 0.353), Cl at (0.000, 0.473, 0.750) and Cl at (0.153, 0.133, 0.850).